First-principles (PBE) data for crystalline ErCo3Si3 at its relaxed geometry, as listed in Alexandria via LeMat-Bulk.

Its total DFT energy (no corrections) is -6.165 eV per atom. The calculation puts the formation energy from raw total energies at -144 meV/atom. The space-group type is Pm-3n. As for the polymorph energy (0 for the lowest one): 1.41 eV/f.u.

Lattice parameters (Å, degrees): 6.1540 6.1540 6.1540 90.00 90.00 90.00
Closest atoms and distances in Å follow each position.
Element x y z (fractional)
Si (0.0000, 0.2500, 0.5000)  4 Co 2.18
Si (0.5000, 0.0000, 0.7500)  4 Co 2.18
Co (0.7500, 0.0000, 0.5000)  4 Si 2.18
Si (0.2500, 0.5000, 0.0000)  4 Co 2.18
Co (0.5000, 0.2500, 0.0000)  4 Si 2.18
Si (0.5000, 0.0000, 0.2500)  4 Co 2.18
Co (0.0000, 0.5000, 0.2500)  4 Si 2.18
Er (0.5000, 0.5000, 0.5000)  12 Si 3.44, 12 Co 3.44
Si (0.7500, 0.5000, 0.0000)  4 Co 2.18
Si (0.0000, 0.7500, 0.5000)  4 Co 2.18
Co (0.2500, 0.0000, 0.5000)  4 Si 2.18
Er (0.0000, 0.0000, 0.0000)  12 Co 3.44, 12 Si 3.44
Co (0.5000, 0.7500, 0.0000)  4 Si 2.18
Co (0.0000, 0.5000, 0.7500)  4 Si 2.18